Material: Pm3TiBr2O6
Method: DFT, PBE-GGA
State: relaxed

Geometry as POSCAR:
```
Pm3TiBr2O6
1.0
-2.065 0.628 -5.452
-3.979 -5.526 0.870
-2.542 6.183 0.566
O Ti Pm Br
6 1 3 2
Cartesian
-2.197 1.328 -1.611 O
-6.388 -0.043 -2.405 O
-4.904 -3.405 -3.047 O
-3.682 4.690 -0.968 O
-5.727 1.849 -0.521 O
-2.858 -0.564 -3.495 O
-1.032 0.314 -2.726 Ti
-1.989 -2.763 0.435 Pm
-4.293 0.643 -2.008 Pm
-2.303 3.406 -2.443 Pm
-4.327 -1.106 0.273 Br
-4.259 2.391 -4.289 Br
```

Formation energy from raw total energies   -2403 meV per atom
Crystal system   monoclinic
Space group   C2/m, No. 12

Material: Ca3LaNd2Te6
Method: DFT, PBE-GGA
State: relaxed

Geometry as POSCAR:
```
Ca3LaNd2Te6
1.0
-0.454 -4.054 -1.853
8.322 0.718 -3.610
1.666 -2.183 9.783
Te La Ca Nd
6 1 3 2
Cartesian
0.951 -3.389 1.765 Te
5.140 -2.990 -0.133 Te
7.400 -5.702 5.246 Te
2.135 0.184 -0.926 Te
8.583 -2.129 2.555 Te
4.395 -2.528 4.453 Te
-0.227 -2.027 -0.927 La
2.118 -4.714 4.378 Ca
7.417 -0.804 -0.058 Ca
3.934 -1.668 -2.731 Ca
6.223 -4.335 2.544 Nd
3.311 -1.183 1.776 Nd
```

Formation energy from raw total energies   -1540 meV per atom
Crystal system   monoclinic
Space group   C2/m, No. 12

Material: Hf2ZrSe6
Method: DFT, PBE-GGA
State: relaxed

Geometry as POSCAR:
```
Hf2ZrSe6
1.0
3.686 0.000 -0.845
-0.537 7.885 -2.342
0.135 -0.483 9.054
Zr Se Hf
1 6 2
Cartesian
1.843 0.000 -0.422 Zr
3.388 5.518 6.321 Se
0.851 6.779 3.716 Se
2.219 4.321 1.218 Se
1.065 3.081 4.649 Se
-0.104 1.885 -0.454 Se
2.433 0.623 2.151 Se
2.803 4.933 3.769 Hf
0.481 2.470 2.099 Hf
```

Formation energy from raw total energies   -1346 meV per atom
Crystal system   monoclinic
Space group   C2/m, No. 12

Material: KTaAs2
Method: DFT, PBE-GGA
State: relaxed

Geometry as POSCAR:
```
KTaAs2
1.0
12.248 -0.012 -0.007
11.879 2.985 -0.007
11.879 1.464 2.601
As Ta K
2 1 1
Cartesian
8.752 1.079 0.629 As
0.582 0.072 0.042 As
26.712 3.292 1.920 Ta
17.962 2.214 1.291 K
```

Crystal system   trigonal
Space group   R3m, No. 160
Formation energy   0.524 eV/atom
ΔE to the lowest computed polymorph   913.9 meV/atom

Material: Ba2AgMo
Method: DFT, PBE-GGA
State: relaxed

Geometry as POSCAR:
```
Ba2AgMo
1.0
8.954 0.000 0.000
0.000 8.954 0.000
4.477 4.477 3.435
Ba Mo Ag
4 2 2
Cartesian
6.726 2.238 0.859 Ba
11.192 11.203 2.576 Ba
2.228 6.715 0.859 Ba
6.715 6.705 2.576 Ba
4.477 8.954 1.717 Mo
4.477 4.477 0.000 Mo
8.954 4.477 1.717 Ag
0.000 0.000 0.000 Ag
```

Crystal system   tetragonal
Space group   I-42d, No. 122
Formation energy   0.935 eV/atom
ΔE to the lowest computed polymorph   338.0 meV/atom

Material: YTh2Ni
Method: DFT, PBE-GGA
State: relaxed

Geometry as POSCAR:
```
YTh2Ni
1.0
3.560 0.000 0.000
0.000 3.560 0.000
0.000 0.000 8.577
Y Th Ni
1 2 1
Cartesian
1.780 1.780 4.288 Y
0.000 0.000 6.945 Th
0.000 0.000 1.632 Th
1.780 1.780 0.000 Ni
```

Crystal system   tetragonal
Space group   P4/mmm, No. 123
Formation energy   -0.091 eV/atom
ΔE to the lowest computed polymorph   127.6 meV/atom

no.,total energy (eV/atom)
1,-7.01
2,-4.82
3,-6.83
4,-5.04
5,-3.45
6,-6.86